Entry 1:
Here is a geometry-optimized Tl2CdAgSe4 structure from Alexandria. Energies are from PBE-GGA.

a b c (Å): 9.0669 9.0914 12.3072
angles (deg): 90.00 90.00 90.00
With the nearest neighbours (Å) after each atom.
Space group Fmm2 (No. 42)
Symmetry-distinct sites (fractional):
Tl  0.2500  0.2500  0.0000 [8 per cell]  4 Se 2.80
Cd  0.0000  0.0000  0.2499 [4 per cell]  4 Se 2.70
Ag  0.0000  0.0000  0.7501 [4 per cell]  4 Se 2.68
Se  0.0000  0.2486  0.8666 [8 per cell]  1 Ag 2.68, 1 Cd 2.70, 2 Tl 2.80
Se  0.2486  0.0000  0.6326 [8 per cell]  1 Ag 2.68, 1 Cd 2.70, 2 Tl 2.80

Entry 2:
Here is a geometry-optimized VCd2AgSe structure from Alexandria. Energies are from PBE-GGA.

a b c (Å): 5.3325 5.3325 4.9042
angles (deg): 90.00 90.00 90.00
With the nearest neighbours (Å) after each atom.
Space group P4/mmm (No. 123)
Symmetry-distinct sites (fractional):
V  0.0000  0.0000  0.0000 [1 per cell]  8 Cd 3.62, 4 Ag 3.77
Cd  0.0000  0.5000  0.5000 [2 per cell]  2 Se 2.67
Ag  0.5000  0.5000  0.0000 [1 per cell]  2 Se 2.45
Se  0.5000  0.5000  0.5000 [1 per cell]  2 Ag 2.45, 4 Cd 2.67

Entry 3:
Here is a geometry-optimized Y2CdAgSe structure from Alexandria. Energies are from PBE-GGA.

a b c (Å): 5.3836 5.3836 4.9147
angles (deg): 90.00 90.00 90.00
With the nearest neighbours (Å) after each atom.
Space group P4/mmm (No. 123)
Symmetry-distinct sites (fractional):
Y  0.0000  0.5000  0.0000 [2 per cell]  2 Se 2.69
Cd  0.0000  0.0000  0.5000 [1 per cell]  8 Y 3.64, 4 Ag 3.81
Ag  0.5000  0.5000  0.5000 [1 per cell]  2 Se 2.46
Se  0.5000  0.5000  0.0000 [1 per cell]  2 Ag 2.46, 4 Y 2.69

Entry 4:
Here is a geometry-optimized YCd2AgSe structure from Alexandria. Energies are from PBE-GGA.

a b c (Å): 5.2810 5.2810 5.3103
angles (deg): 90.00 90.00 90.00
With the nearest neighbours (Å) after each atom.
Space group P4/mmm (No. 123)
Symmetry-distinct sites (fractional):
Y  0.0000  0.0000  0.0000 [1 per cell]  2 Se 2.66
Cd  0.0000  0.5000  0.5000 [2 per cell]  2 Se 2.64
Ag  0.5000  0.5000  0.0000 [1 per cell]  4 Y 3.73, 8 Cd 3.74
Se  0.0000  0.0000  0.5000 [1 per cell]  4 Cd 2.64, 2 Y 2.66

Entry 5:
Here is a geometry-optimized CdSi2Ag structure from Alexandria. Energies are from PBE-GGA.

a b c (Å): 2.8076 4.9338 10.7424
angles (deg): 90.00 90.00 90.00
With the nearest neighbours (Å) after each atom.
Space group Cmmm (No. 65)
Symmetry-distinct sites (fractional):
Cd  0.0000  0.0000  0.0000 [2 per cell]  6 Cd 2.81-2.84
Si  0.0000  0.5000  0.2752 [4 per cell]  2 Ag 2.79, 6 Si 2.81-2.84
Ag  0.0000  0.0000  0.5000 [2 per cell]  4 Si 2.79, 6 Ag 2.81-2.84

Entry 6:
Here is a geometry-optimized CdSi2Ag structure from Alexandria. Energies are from PBE-GGA.

a b c (Å): 2.9592 4.3603 11.8963
angles (deg): 90.00 90.00 90.00
With the nearest neighbours (Å) after each atom.
Space group Imm2 (No. 44)
Symmetry-distinct sites (fractional):
Cd  0.0000  0.0000  0.0000 [2 per cell]  6 Si 2.88-3.14, 2 Cd 2.96, 2 Ag 3.11
Si  0.0000  0.0000  0.4028 [2 per cell]  2 Si 2.50
Si  0.0000  0.5000  0.7332 [2 per cell]  2 Si 2.50, 4 Ag 2.69
Ag  0.0000  0.5000  0.1868 [2 per cell]  4 Si 2.69, 2 Ag 2.96

Entry 7:
Here is a geometry-optimized Cd2Si2Ag structure from Alexandria. Energies are from PBE-GGA.

a b c (Å): 3.4100 3.4100 17.1732
angles (deg): 90.00 90.00 90.00
With the nearest neighbours (Å) after each atom.
Space group I4/mmm (No. 139)
Symmetry-distinct sites (fractional):
Cd  0.0000  0.0000  0.1019 [4 per cell]  4 Ag 2.98, 4 Si 3.06
Si  0.0000  0.5000  0.2500 [4 per cell]  4 Si 2.41
Ag  0.0000  0.0000  0.5000 [2 per cell]  8 Cd 2.98

Output
distance to the lowest polymorph of the same formula: 0.00 kJ per mole of atoms

Entry 8:
Here is a geometry-optimized CdSiAg structure from Alexandria. Energies are from PBE-GGA.

a b c (Å): 3.0958 3.0958 6.6697
angles (deg): 90.00 90.00 120.00
With the nearest neighbours (Å) after each atom.
Space group P3m1 (No. 156)
Symmetry-distinct sites (fractional):
Cd  0.0000  0.0000  0.0000 [1 per cell]  3 Si 2.91, 3 Ag 2.96, 6 Cd 3.10
Si  0.6667  0.3333  0.3447 [1 per cell]  3 Ag 2.69, 3 Cd 2.91
Ag  0.3333  0.6667  0.6460 [1 per cell]  3 Si 2.69, 3 Cd 2.96

Output
distance to the lowest polymorph of the same formula: 3.11 kJ per mole of atoms

Entry 9:
Here is a geometry-optimized CdSi2Ag structure from Alexandria. Energies are from PBE-GGA.

a b c (Å): 7.5739 7.5739 5.4386
angles (deg): 90.00 90.00 90.00
With the nearest neighbours (Å) after each atom.
Space group I-42d (No. 122)
Symmetry-distinct sites (fractional):
Cd  0.0000  0.0000  0.0000 [4 per cell]  2 Ag 2.72, 4 Si 2.88
Si  0.2276  0.2500  0.6250 [8 per cell]  2 Ag 2.65, 2 Si 2.74, 2 Cd 2.88
Ag  0.0000  0.0000  0.5000 [4 per cell]  4 Si 2.65, 2 Cd 2.72

Entry 10:
Here is a geometry-optimized CdSi2Ag structure from Alexandria. Energies are from PBE-GGA.

a b c (Å): 3.0585 5.0714 4.8393
angles (deg): 90.00 91.35 90.00
With the nearest neighbours (Å) after each atom.
Space group P2/m (No. 10)
Symmetry-distinct sites (fractional):
Cd  0.0000  0.0000  0.0000 [1 per cell]  4 Ag 2.83-2.89, 4 Si 3.00, 2 Cd 3.06
Si  0.2454  0.5000  0.2954 [2 per cell]  2 Si 2.49-2.51
Ag  0.5000  0.0000  0.5000 [1 per cell]  4 Si 2.82, 4 Cd 2.83-2.89, 2 Ag 3.06

Entry 11:
Here is a geometry-optimized CdSiAg structure from Alexandria. Energies are from PBE-GGA.

a b c (Å): 3.4970 4.7487 13.5174
angles (deg): 90.00 90.00 90.00
With the nearest neighbours (Å) after each atom.
Space group Fmm2 (No. 42)
Symmetry-distinct sites (fractional):
Cd  0.0000  0.0000  0.0000 [4 per cell]  2 Si 2.91, 2 Ag 2.93, 4 Cd 2.95
Si  0.0000  0.0000  0.6723 [4 per cell]  2 Ag 2.72, 2 Cd 2.91, 4 Si 2.95
Ag  0.0000  0.0000  0.3264 [4 per cell]  2 Si 2.72, 2 Cd 2.93, 4 Ag 2.95

Output
distance to the lowest polymorph of the same formula: 8.59 kJ per mole of atoms

Entry 12:
Here is a geometry-optimized CdSi2Ag structure from Alexandria. Energies are from PBE-GGA.

a b c (Å): 2.9681 4.6700 5.2778
angles (deg): 90.00 90.00 90.00
With the nearest neighbours (Å) after each atom.
Space group Pmmm (No. 47)
Symmetry-distinct sites (fractional):
Cd  0.0000  0.0000  0.0000 [1 per cell]  4 Ag 2.77, 2 Cd 2.97, 4 Si 3.03
Si  0.0000  0.5000  0.5000 [1 per cell]  6 Si 2.77-2.97, 4 Ag 3.03
Si  0.5000  0.0000  0.5000 [1 per cell]  6 Si 2.77-2.97, 4 Cd 3.03
Ag  0.5000  0.5000  0.0000 [1 per cell]  4 Cd 2.77, 2 Ag 2.97, 4 Si 3.03

| no. | ΔE_f (raw) (kJ/mol of atoms) | ρ (g cm⁻³) | E_tot (eV per cell) |
| --- | --- | --- | --- |
| 1 | -28.1 | 6.2 | -99.1 |
| 2 | 107.9 | 5.5 | -11.7 |
| 3 | -31.8 | 5.6 | -21.8 |
| 4 | 10.3 | 5.6 | -14.1 |
| 5 | 40.9 | 6.2 | -25.8 |
| 6 | 33.8 | 6.0 | -26.4 |
| 7 | 22.1 | 6.5 | -28.8 |
| 8 | 24.8 | 7.4 | -8.4 |
| 9 | 49.7 | 5.9 | -50.2 |
| 10 | 36.8 | 6.1 | -13.1 |
| 11 | 30.3 | 7.3 | -33.0 |
| 12 | 41.7 | 6.3 | -12.9 |